Record 1
## CaCo2Au (SCAN)

Data for a crystal of CaCo2Au relaxed with PBEsol.

Cell lengths 4.4104, 4.4104, 4.4104 Å; angles 60.00, 60.00, 60.00 degrees
Positions (direct):
Ca 0.0000 0.0000 0.0000
Co 0.2500 0.2500 0.2500
Co 0.7500 0.7500 0.7500
Au 0.5000 0.5000 0.5000

## Properties
Electronic total energy, eV per atom: -28.151

---

Record 2
## BeWCl2 (SCAN)

Data for a crystal of BeWCl2 relaxed with PBEsol.

Cell lengths 3.2660, 2.9527, 7.3622 Å; angles 90.00, 97.26, 90.00 degrees
Positions (direct):
Be 0.0000 0.0000 0.0000
W 0.4699 0.5000 0.8435
Cl 0.3698 0.0000 0.5903
Cl 0.7653 0.5000 0.1701

## Properties
E_form (uncorrected), kJ/mol of atoms: -15.3
Excess energy over the best structure of this formula in the dataset, meV/atom: 0.0

---

Record 3
## Co2ReNi (SCAN)

Data for a crystal of Co2ReNi relaxed with PBEsol.

Cell lengths 4.3005, 4.3005, 4.3005 Å; angles 130.97, 130.97, 71.85 degrees
Positions (direct):
Co 0.2500 0.7500 0.5000
Co 0.7500 0.2500 0.5000
Re 0.0000 0.0000 0.0000
Ni 0.5000 0.5000 0.0000

## Properties
Excess energy over the best structure of this formula in the dataset, meV/atom: 0.5

---

Record 4
## KCuBr2 (SCAN)

Data for a crystal of KCuBr2 relaxed with PBEsol.

Cell lengths 4.7152, 4.1895, 6.5524 Å; angles 90.00, 110.92, 90.00 degrees
Positions (direct):
K 0.0000 0.0000 0.0000
Cu 0.3627 0.5000 0.7207
Br 0.2772 0.0000 0.5456
Br 0.5511 0.5000 0.1030

## Properties
E_form (uncorrected), kJ/mol of atoms: -100.6
Excess energy over the best structure of this formula in the dataset, meV/atom: 28.3

---

Record 5
## Ag2RhSe (SCAN)

Data for a crystal of Ag2RhSe relaxed with PBEsol.

Cell lengths 3.1198, 4.3849, 4.7216 Å; angles 90.00, 90.00, 90.00 degrees
Positions (direct):
Ag 0.0000 0.0000 0.0000
Ag 0.5000 0.5000 0.0000
Rh 0.0000 0.5000 0.5000
Se 0.5000 0.0000 0.5000

## Properties
E_form (uncorrected), kJ/mol of atoms: 19.0

---

Record 6
## ErBrO (SCAN)

Data for a crystal of ErBrO relaxed with PBEsol.

Cell lengths 3.7579, 3.7579, 8.4344 Å; angles 90.00, 90.00, 90.00 degrees
Positions (direct):
Er 0.2500 0.2500 0.1321
Er 0.7500 0.7500 0.8679
Br 0.2500 0.2500 0.6749
Br 0.7500 0.7500 0.3251
O 0.2500 0.7500 0.0000
O 0.7500 0.2500 0.0000

## Properties
E_form (uncorrected), kJ/mol of atoms: -313.4

---

Record 7
## LiHfZn3 (SCAN)

Data for a crystal of LiHfZn3 relaxed with PBEsol.

Cell lengths 5.1625, 5.1625, 5.1625 Å; angles 90.00, 90.00, 90.00 degrees
Positions (direct):
Li 0.0000 0.0000 0.0000
Hf 0.5000 0.5000 0.5000
Zn 0.0000 0.5000 0.5000
Zn 0.5000 0.0000 0.5000
Zn 0.5000 0.5000 0.0000

## Properties
Electronic total energy, eV per atom: -20.296

---

Record 8
## BeAgAu2 (SCAN)

Data for a crystal of BeAgAu2 relaxed with PBEsol.

Cell lengths 4.4183, 4.4183, 4.4183 Å; angles 60.00, 60.00, 60.00 degrees
Positions (direct):
Be 0.0000 0.0000 0.0000
Ag 0.2500 0.2500 0.2500
Au 0.5000 0.5000 0.5000
Au 0.7500 0.7500 0.7500

## Properties
Electronic total energy, eV per atom: -43.449

---

Record 9
## ZrBe2Pd (SCAN)

Data for a crystal of ZrBe2Pd relaxed with PBEsol.

Cell lengths 4.1710, 4.1710, 4.1710 Å; angles 60.00, 60.00, 60.00 degrees
Positions (direct):
Zr 0.0000 0.0000 0.0000
Be 0.2500 0.2500 0.2500
Be 0.7500 0.7500 0.7500
Pd 0.5000 0.5000 0.5000

## Properties
Electronic total energy, eV per atom: -18.460

---

Record 10
## La3TiAlS7 (SCAN)

Data for a crystal of La3TiAlS7 relaxed with PBEsol.

Cell lengths 10.4123, 10.4123, 5.8375 Å; angles 90.00, 90.00, 120.00 degrees
Positions (direct):
La 0.1296 0.7567 0.0000
La 0.2433 0.3729 0.0000
La 0.3729 0.1296 0.5000
La 0.6271 0.8704 0.0000
La 0.7567 0.6271 0.5000
La 0.8704 0.2433 0.5000
Ti 0.0000 0.0000 0.2400
Ti 0.0000 0.0000 0.7400
Al 0.3333 0.6667 0.5846
Al 0.6667 0.3333 0.0846
S 0.0789 0.8494 0.4885
S 0.1053 0.5144 0.7290
S 0.1506 0.2295 0.4885
S 0.2295 0.0789 0.9885
S 0.3333 0.6667 0.2070
S 0.4090 0.8947 0.7290
S 0.4856 0.5910 0.7290
S 0.5144 0.4090 0.2290
S 0.5910 0.1053 0.2290
S 0.6667 0.3333 0.7070
S 0.7705 0.9211 0.4885
S 0.8494 0.7705 0.9885
S 0.8947 0.4856 0.2290
S 0.9211 0.1506 0.9885

## Properties
E_form (uncorrected), kJ/mol of atoms: -205.2

---

Record 11
## IrPtRh (SCAN)

Data for a crystal of IrPtRh relaxed with PBEsol.

Cell lengths 2.7186, 2.7186, 6.6401 Å; angles 90.00, 90.00, 120.00 degrees
Positions (direct):
Ir 0.0000 0.0000 0.0000
Pt 0.6667 0.3333 0.6590
Rh 0.3333 0.6667 0.3204

## Properties
Excess energy over the best structure of this formula in the dataset, meV/atom: 5.2

---

Record 12
## MnNbCo2Ru (SCAN)

Data for a crystal of MnNbCo2Ru relaxed with PBEsol.

Cell lengths 4.2878, 4.2878, 4.2978 Å; angles 90.00, 90.00, 90.00 degrees
Positions (direct):
Mn 0.0000 0.0000 0.0000
Nb 0.5000 0.5000 0.0000
Co 0.0000 0.5000 0.5000
Co 0.5000 0.0000 0.5000
Ru 0.0000 0.0000 0.5000

## Properties
Electronic total energy, eV per atom: -22.891

---

Record 13
## LiY2OsO (SCAN)

Data for a crystal of LiY2OsO relaxed with PBEsol.

Cell lengths 4.7000, 4.7000, 3.6537 Å; angles 90.00, 90.00, 90.00 degrees
Positions (direct):
Li 0.0000 0.0000 0.0000
Y 0.0000 0.5000 0.5000
Y 0.5000 0.0000 0.5000
Os 0.5000 0.5000 0.0000
O 0.0000 0.0000 0.5000

## Properties
E_form (uncorrected), kJ/mol of atoms: -132.5

---

Record 14
## Nd4Mn3NiO12 (SCAN)

Data for a crystal of Nd4Mn3NiO12 relaxed with PBEsol.

Cell lengths 5.3686, 5.4925, 7.6382 Å; angles 90.19, 90.07, 90.08 degrees
Positions (direct):
Nd 0.0112 0.0486 0.2539
Nd 0.4883 0.5530 0.2545
Nd 0.5117 0.4470 0.7455
Nd 0.9888 0.9514 0.7461
Mn 0.0000 0.5000 0.0000
Mn 0.0000 0.5000 0.5000
Mn 0.5000 0.0000 0.0000
Ni 0.5000 0.0000 0.5000
O 0.0770 0.5152 0.7498
O 0.2004 0.7842 0.4598
O 0.2125 0.7894 0.0428
O 0.2845 0.2984 0.4599
O 0.2887 0.2883 0.0434
O 0.4221 0.0152 0.7572
O 0.5779 0.9848 0.2428
O 0.7113 0.7117 0.9566
O 0.7155 0.7016 0.5401
O 0.7875 0.2106 0.9572
O 0.7996 0.2158 0.5402
O 0.9230 0.4848 0.2502

## Properties
E_form (uncorrected), kJ/mol of atoms: -286.2

---

Record 15
## LiCrFe2 (SCAN)

Data for a crystal of LiCrFe2 relaxed with PBEsol.

Cell lengths 4.4861, 4.4861, 4.4861 Å; angles 143.12, 127.08, 66.25 degrees
Positions (direct):
Li 0.0000 0.0000 0.0000
Cr 0.5000 0.5000 0.0000
Fe 0.2616 0.7616 0.5000
Fe 0.7384 0.2384 0.5000

## Properties
Excess energy over the best structure of this formula in the dataset, meV/atom: 4.6

---

Record 16
## KScAs (SCAN)

Data for a crystal of KScAs relaxed with PBEsol.

Cell lengths 4.1477, 4.1477, 7.0011 Å; angles 90.00, 90.00, 120.00 degrees
Positions (direct):
K 0.0000 0.0000 0.0000
Sc 0.3333 0.6667 0.4701
As 0.6667 0.3333 0.3303

## Properties
Electronic total energy, eV per atom: -14.835

---

Record 17
## Cd2GaPb (SCAN)

Data for a crystal of Cd2GaPb relaxed with PBEsol.

Cell lengths 5.0842, 5.0842, 5.0842 Å; angles 60.00, 60.00, 60.00 degrees
Positions (direct):
Cd 0.2500 0.2500 0.2500
Cd 0.7500 0.7500 0.7500
Ga 0.0000 0.0000 0.0000
Pb 0.5000 0.5000 0.5000

## Properties
Electronic total energy, eV per atom: -38.084

---

Record 18
## MgAgO2 (SCAN)

Data for a crystal of MgAgO2 relaxed with PBEsol.

Cell lengths 6.0812, 6.0812, 6.0812 Å; angles 32.93, 32.93, 32.93 degrees
Positions (direct):
Mg 0.0000 0.0000 0.0000
Ag 0.5000 0.5000 0.5000
O 0.1085 0.1085 0.1085
O 0.8915 0.8915 0.8915

## Properties
E_form (uncorrected), kJ/mol of atoms: -62.8

---

Record 19
## Cd2AgRh (SCAN)

Data for a crystal of Cd2AgRh relaxed with PBEsol.

Cell lengths 4.6666, 4.6666, 3.1360 Å; angles 90.00, 90.00, 100.26 degrees
Positions (direct):
Cd 0.0000 0.5000 0.0000
Cd 0.5000 0.0000 0.0000
Ag 0.0000 0.0000 0.5000
Rh 0.5000 0.5000 0.5000

## Properties
Excess energy over the best structure of this formula in the dataset, meV/atom: 19.1

---

Record 20
## Y2ReNi (SCAN)

Data for a crystal of Y2ReNi relaxed with PBEsol.

Cell lengths 5.9012, 5.9012, 5.9012 Å; angles 147.63, 133.80, 57.53 degrees
Positions (direct):
Y 0.0000 0.0000 0.0000
Y 0.7128 0.2128 0.5000
Re 0.2715 0.7715 0.5000
Ni 0.4424 0.4424 0.0000

## Properties
Electronic total energy, eV per atom: -35.672

---

Record 21
## BeAg2W (SCAN)

Data for a crystal of BeAg2W relaxed with PBEsol.

Cell lengths 4.7237, 4.7237, 2.7098 Å; angles 90.00, 90.00, 90.00 degrees
Positions (direct):
Be 0.0000 0.0000 0.0000
Ag 0.0000 0.5000 0.5000
Ag 0.5000 0.0000 0.5000
W 0.5000 0.5000 0.0000

## Properties
Electronic total energy, eV per atom: -33.360

---

Record 22
## TlRhBr2 (SCAN)

Data for a crystal of TlRhBr2 relaxed with PBEsol.

Cell lengths 4.9438, 4.9438, 4.9438 Å; angles 60.00, 60.00, 60.00 degrees
Positions (direct):
Tl 0.0000 0.0000 0.0000
Rh 0.7500 0.7500 0.7500
Br 0.2500 0.2500 0.2500
Br 0.5000 0.5000 0.5000

## Properties
E_form (uncorrected), kJ/mol of atoms: 49.2
Excess energy over the best structure of this formula in the dataset, meV/atom: 845.5

---

Record 23
## InSiTe3 (SCAN)

Data for a crystal of InSiTe3 relaxed with PBEsol.

Cell lengths 7.0336, 7.0336, 7.0623 Å; angles 90.00, 90.00, 120.00 degrees
Positions (direct):
In 0.3333 0.6667 0.0000
In 0.6667 0.3333 0.0000
Si 0.0000 0.0000 0.1638
Si 0.0000 0.0000 0.8362
Te 0.0000 0.3412 0.7302
Te 0.0000 0.6588 0.2698
Te 0.3412 0.0000 0.7302
Te 0.3412 0.3412 0.2698
Te 0.6588 0.0000 0.2698
Te 0.6588 0.6588 0.7302

## Properties
E_form (uncorrected), kJ/mol of atoms: -21.3

---

Record 24
## CsRhN3 (SCAN)

Data for a crystal of CsRhN3 relaxed with PBEsol.

Cell lengths 4.0932, 4.0932, 4.0932 Å; angles 90.00, 90.00, 90.00 degrees
Positions (direct):
Cs 0.0000 0.0000 0.0000
Rh 0.5000 0.5000 0.5000
N 0.0000 0.5000 0.5000
N 0.5000 0.0000 0.5000
N 0.5000 0.5000 0.0000

## Properties
E_form (uncorrected), kJ/mol of atoms: 113.9

---

Record 25
## In2FeSiC (SCAN)

Data for a crystal of In2FeSiC relaxed with PBEsol.

Cell lengths 5.0252, 5.0252, 4.2852 Å; angles 90.00, 90.00, 90.00 degrees
Positions (direct):
In 0.0000 0.5000 0.0000
In 0.5000 0.0000 0.0000
Fe 0.0000 0.0000 0.5000
Si 0.0000 0.0000 0.0000
C 0.5000 0.5000 0.5000

## Properties
E_form (uncorrected), kJ/mol of atoms: 172.6

---

Record 26
## HoCu3Te3 (SCAN)

Data for a crystal of HoCu3Te3 relaxed with PBEsol.

Cell lengths 8.0405, 8.0405, 8.0405 Å; angles 53.90, 53.90, 53.90 degrees
Positions (direct):
Ho 0.1630 0.1630 0.1630
Ho 0.8370 0.8370 0.8370
Cu 0.0205 0.7472 0.3542
Cu 0.2528 0.6458 0.9795
Cu 0.3542 0.0205 0.7472
Cu 0.6458 0.9795 0.2528
Cu 0.7472 0.3542 0.0205
Cu 0.9795 0.2528 0.6458
Te 0.1045 0.4265 0.7252
Te 0.2748 0.8955 0.5735
Te 0.4265 0.7252 0.1045
Te 0.5735 0.2748 0.8955
Te 0.7252 0.1045 0.4265
Te 0.8955 0.5735 0.2748

## Properties
E_form (uncorrected), kJ/mol of atoms: -52.4

---

Record 27
## TcPb2Se (SCAN)

Data for a crystal of TcPb2Se relaxed with PBEsol.

Cell lengths 8.1850, 8.1850, 8.1850 Å; angles 25.29, 25.29, 25.29 degrees
Positions (direct):
Tc 0.0000 0.0000 0.0000
Pb 0.2543 0.2543 0.2543
Pb 0.7457 0.7457 0.7457
Se 0.5000 0.5000 0.5000

## Properties
E_form (uncorrected), kJ/mol of atoms: 51.9
Excess energy over the best structure of this formula in the dataset, meV/atom: 0.0